A plane-wave DFT calculation with PBEsol was carried out for a relaxed structure of CaScCl3.

Results
formation energy without anion corrections: -1.246 eV/atom
symmetry: Pm-3m (221)
DOS(E_F): 6.17 states/eV/f.u.

Lattice parameters (Å, degrees): 5.2173 5.2173 5.2173 90.00 90.00 90.00
Closest atoms and distances in Å follow each position.
Sites, in units of the cell vectors:
Ca 0.0000 0.0000 0.0000  6 Cl 2.61
Sc 0.5000 0.5000 0.5000  12 Cl 3.69
Cl 0.0000 0.0000 0.5000  2 Ca 2.61
Cl 0.0000 0.5000 0.0000  2 Ca 2.61
Cl 0.5000 0.0000 0.0000  2 Ca 2.61

***

A plane-wave DFT calculation with PBEsol was carried out for a relaxed structure of BaRu2Pt.

Results
calculated formation energy: 0.628 eV/atom
symmetry: Pmmm (47)
DOS(E_F): 5.97 states/eV/f.u.
offset from the most stable computed form: 36.4 kJ/mol of atoms

Lattice parameters (Å, degrees): 2.8328 3.9111 7.0000 90.00 90.00 90.00
Closest atoms and distances in Å follow each position.
Sites, in units of the cell vectors:
Ba 0.0000 0.0000 0.0000  2 Ba 2.83
Ru 0.5000 0.5000 0.3271  1 Ru 2.42, 4 Pt 2.70
Ru 0.5000 0.5000 0.6729  1 Ru 2.42, 4 Pt 2.70
Pt 0.0000 0.0000 0.5000  8 Ru 2.70, 2 Pt 2.83

***

A plane-wave DFT calculation with PBEsol was carried out for a relaxed structure of InIr4Br.

Results
formation energy without anion corrections: 0.868 eV/atom
symmetry: F-43m (216)
DOS(E_F): 12.00 states/eV/f.u.

Lattice parameters (Å, degrees): 5.2579 5.2579 5.2579 60.00 60.00 60.00
Closest atoms and distances in Å follow each position.
Sites, in units of the cell vectors:
In 0.0000 0.0000 0.0000  12 Ir 3.08, 4 Br 3.22
Ir 0.3748 0.3748 0.3748  6 Ir 2.62-2.63
Ir 0.3748 0.3748 0.8756  6 Ir 2.62-2.63
Ir 0.3748 0.8756 0.3748  6 Ir 2.62-2.63
Ir 0.8756 0.3748 0.3748  6 Ir 2.62-2.63
Br 0.7500 0.7500 0.7500  12 Ir 3.08, 4 In 3.22

***

A plane-wave DFT calculation with PBEsol was carried out for a relaxed structure of AlGaPdF2.

Results
formation energy without anion corrections: -0.944 eV/atom
symmetry: P4/mmm (123)
DOS(E_F): 1.46 states/eV/f.u.

Lattice parameters (Å, degrees): 3.7009 3.7009 6.2122 90.00 90.00 90.00
Closest atoms and distances in Å follow each position.
Sites, in units of the cell vectors:
Al 0.0000 0.0000 0.0000  4 Pd 2.62
Ga 0.0000 0.0000 0.5000  4 F 1.85
Pd 0.5000 0.5000 0.0000  4 Al 2.62
F 0.0000 0.5000 0.5000  2 Ga 1.85
F 0.5000 0.0000 0.5000  2 Ga 1.85

***

A plane-wave DFT calculation with PBEsol was carried out for a relaxed structure of LiCaAl2.

Results
calculated formation energy: -0.139 eV/atom
symmetry: R-3m (166)
DOS(E_F): 2.26 states/eV/f.u.
offset from the most stable computed form: 1.2 kJ/mol of atoms

Lattice parameters (Å, degrees): 5.8913 5.8913 5.8913 44.30 44.30 44.30
Closest atoms and distances in Å follow each position.
Sites, in units of the cell vectors:
Li 0.0000 0.0000 0.0000  6 Al 2.62
Ca 0.5000 0.5000 0.5000  8 Al 3.18-3.33
Al 0.2999 0.2999 0.2999  3 Li 2.62, 3 Al 2.78
Al 0.7001 0.7001 0.7001  3 Li 2.62, 3 Al 2.78

***

A plane-wave DFT calculation with PBEsol was carried out for a relaxed structure of LiHgPb2.

Results
calculated formation energy: -0.147 eV/atom
symmetry: Imm2 (44)
DOS(E_F): 1.62 states/eV/f.u.

Lattice parameters (Å, degrees): 5.9810 5.9810 5.9810 143.47 128.88 64.46
Closest atoms and distances in Å follow each position.
Sites, in units of the cell vectors:
Li 0.0000 0.0000 0.0000  2 Hg 2.80
Hg 0.7946 0.2946 0.5000  2 Li 2.80
Pb 0.2510 0.7510 0.5000  2 Li 3.16, 4 Hg 3.22, 4 Pb 3.36-3.44
Pb 0.5269 0.5269 0.0000  4 Li 3.20, 4 Hg 3.29-3.49, 4 Pb 3.36-3.44

***

A plane-wave DFT calculation with PBEsol was carried out for a relaxed structure of ReAsIr2.

Results
calculated formation energy: 0.511 eV/atom
symmetry: Cmm2 (35)
DOS(E_F): 4.67 states/eV/f.u.

Lattice parameters (Å, degrees): 2.7359 2.7359 9.2954 90.00 90.00 120.12
Closest atoms and distances in Å follow each position.
Sites, in units of the cell vectors:
Re 0.0000 0.0000 0.0000  2 Ir 2.60, 6 Re 2.73-2.74, 2 As 2.82
As 0.5000 0.5000 0.7344  2 Ir 2.63, 6 As 2.73-2.74, 2 Re 2.82
Ir 0.0000 0.0000 0.4932  2 As 2.63, 8 Ir 2.73-2.74
Ir 0.5000 0.5000 0.2384  2 Re 2.60, 8 Ir 2.73-2.74

***

A plane-wave DFT calculation with PBEsol was carried out for a relaxed structure of SbP2ClF.

Results
formation energy without anion corrections: 0.288 eV/atom
symmetry: P4/mmm (123)
DOS(E_F): 2.79 states/eV/f.u.

Lattice parameters (Å, degrees): 4.1568 4.1568 5.1928 90.00 90.00 90.00
Closest atoms and distances in Å follow each position.
Sites, in units of the cell vectors:
Sb 0.0000 0.0000 0.0000  4 Cl 2.94
P 0.0000 0.5000 0.5000  2 F 2.08
P 0.5000 0.0000 0.5000  2 F 2.08
Cl 0.5000 0.5000 0.0000  2 F 2.60
F 0.5000 0.5000 0.5000  4 P 2.08

***

Repeat the seventh record exactly.
A plane-wave DFT calculation with PBEsol was carried out for a relaxed structure of ReAsIr2.

Results
calculated formation energy: 0.511 eV/atom
symmetry: Cmm2 (35)
DOS(E_F): 4.67 states/eV/f.u.

Lattice parameters (Å, degrees): 2.7359 2.7359 9.2954 90.00 90.00 120.12
Closest atoms and distances in Å follow each position.
Sites, in units of the cell vectors:
Re 0.0000 0.0000 0.0000  2 Ir 2.60, 6 Re 2.73-2.74, 2 As 2.82
As 0.5000 0.5000 0.7344  2 Ir 2.63, 6 As 2.73-2.74, 2 Re 2.82
Ir 0.0000 0.0000 0.4932  2 As 2.63, 8 Ir 2.73-2.74
Ir 0.5000 0.5000 0.2384  2 Re 2.60, 8 Ir 2.73-2.74

***

> Which of these has the highest DOS(E_F)?

InIr4Br